Entry 1:
The following is a DFT calculation (PBE) of a relaxed structure of Rb3Se4S.

The space group is C2/m (No. 12) and the conventional cell measures 24.7657, 4.8533 and 5.1162 Å, with angles of 90.00, 97.14 and 90.00 degrees. The asymmetric unit holds Rb at (0.0000, 0.0000, 0.0000), Rb at (0.1786, 0.0000, 0.1179), Se at (0.0911, 0.5000, 0.7452), Se at (0.1801, 0.5000, 0.6122) and S at (0.0000, 0.5000, 0.5000).

The size of the total moment is 0.0000 μB per atom. Its calculated total energy is -3.290 eV per atom. Its formation energy from raw total energies is -5.3 eV/f.u.

Entry 2:
The following is a DFT calculation (PBE) of a relaxed structure of DyYSe.

The space group is I4mm (No. 107) and the conventional cell measures 3.5937, 3.5937 and 12.3002 Å, with angles of 90.00, 90.00 and 90.00 degrees. The asymmetric unit holds Dy at (0.0000, 0.0000, 0.0000), Y at (0.0000, 0.0000, 0.7095) and Se at (0.0000, 0.0000, 0.3548).

The size of the total moment is 0.0000 μB per atom. Its calculated total energy is -5.814 eV per atom. Its formation energy from raw total energies is -2.9 eV/f.u.

Entry 3:
The following is a DFT calculation (PBE) of a relaxed structure of PrEr2ScS6.

The space group is R3 (No. 146, hexagonal axes) and the conventional cell measures 6.8601, 6.8601 and 18.3272 Å, with angles of 90.00, 90.00 and 120.00 degrees. The asymmetric unit holds Pr at (0.0000, 0.0000, 0.0000), Er at (0.0000, 0.0000, 0.2887), Er at (0.0000, 0.0000, 0.7963), Sc at (0.0000, 0.0000, 0.4882), S at (0.0236, 0.7238, 0.3930) and S at (0.0269, 0.3468, 0.5568).

The size of the total moment is 0.0000 μB per atom. Its calculated total energy is -6.483 eV per atom. Its formation energy from raw total energies is -19.8 eV/f.u.

Entry 4:
The following is a DFT calculation (PBE) of a relaxed structure of Er5TmPb4.

The space group is C2/m (No. 12) and the conventional cell measures 17.4812, 3.6252 and 9.6892 Å, with angles of 90.00, 92.21 and 90.00 degrees. The asymmetric unit holds Er at (0.0000, 0.0000, 0.0000), Er at (0.1556, 0.5000, 0.2550), Er at (0.1912, 0.5000, 0.8896), Tm at (0.0000, 0.0000, 0.5000), Pb at (0.0253, 0.5000, 0.7503) and Pb at (0.1814, 0.0000, 0.5677).

The size of the total moment is 0.0000 μB per atom. Its calculated total energy is -4.393 eV per atom. For the energy of formation, the calculation gives -0.18 eV per atom.